[1]
HfF3: relaxed, PBE.

a b c (Å): 3.5509 3.5509 7.7181
angles (deg): 76.70 76.70 90.00
Element x y z (fractional)
F: 0.0663 0.6250 0.2500
F: 0.8750 0.9337 0.7500
F: 0.5000 0.5000 0.0000
F: 0.3750 0.3163 0.7500
F: 0.6837 0.1250 0.2500
F: 0.2500 0.7500 0.5000
Hf: 0.7500 0.2500 0.5000
Hf: 0.0000 0.0000 0.0000

total moment = 0.0 μB/cell
formation energy (no corrections) = -2752.5 meV/atom
final energy = -0.2442 Ha/atom

***

[2]
HfF4: relaxed, PBE.

a b c (Å): 4.0285 4.0285 4.0285
angles (deg): 90.00 90.00 90.00
Site moments in Bohr magnetons follow the coordinates.
Element x y z (fractional)
F: 0.0000 0.5000 0.5000  0.00
F: 0.5000 0.0000 0.5000  0.00
F: 0.5000 0.5000 0.0000  0.00
F: 0.0000 0.0000 0.0000  0.09
Hf: 0.5000 0.5000 0.5000  0.00

total moment = 0.1 μB/cell
formation energy (no corrections) = -3303.4 meV/atom
final energy = -0.2496 Ha/atom